First-principles (PBE) data for a relaxed KAl2ReBi crystal, as listed in Alexandria via LeMat-Bulk.

Calculated values
As for the formation energy: 203 meV per atom.

a b c (Å): 4.979 4.979 5.359
angles (deg): 90.00 90.00 90.00
Space group P4/mmm (No. 123)
Symmetry-distinct sites (fractional):
1 K 0.000 0.000 0.000
2 Al 0.000 0.500 0.500
3 Re 0.500 0.500 0.500
4 Bi 0.500 0.500 0.000

---

First-principles (PBE) data for a relaxed K2AlBiRh crystal, as listed in Alexandria via LeMat-Bulk.

Calculated values
As for the formation energy: 351 meV per atom.

a b c (Å): 6.183 6.183 4.643
angles (deg): 90.00 90.00 90.00
Space group P4/mmm (No. 123)
Symmetry-distinct sites (fractional):
1 K 0.000 0.500 0.000
2 Al 0.000 0.000 0.500
3 Bi 0.500 0.500 0.500
4 Rh 0.000 0.000 0.000

---

First-principles (PBE) data for a relaxed K3AlBi3S8 crystal, as listed in Alexandria via LeMat-Bulk.

Calculated values
The formation energy without anion corrections is -0.7534 eV per atom.

a b c (Å): 13.760 7.929 8.941
angles (deg): 90.00 120.90 90.00
Space group C2/m (No. 12)
Symmetry-distinct sites (fractional):
1 K 0.000 0.000 0.000
2 K 0.250 0.250 0.000
3 Al 0.000 0.000 0.500
4 Bi 0.000 0.500 0.500
5 Bi 0.250 0.250 0.500
6 S 0.011 0.221 0.312
7 S 0.210 0.000 0.688
8 S 0.238 0.500 0.713

---

First-principles (PBE) data for a relaxed K2AlBiS4 crystal, as listed in Alexandria via LeMat-Bulk.

Calculated values
The formation energy without anion corrections is -0.9440 eV per atom.

a b c (Å): 7.876 7.876 6.891
angles (deg): 90.00 90.00 90.00
Space group I-42m (No. 121)
Symmetry-distinct sites (fractional):
1 K 0.000 0.500 0.000
2 Al 0.000 0.000 0.000
3 Bi 0.000 0.000 0.500
4 S 0.163 0.163 0.797

---

First-principles (PBE) data for a relaxed K2AlBiSe crystal, as listed in Alexandria via LeMat-Bulk.

Calculated values
The formation energy without anion corrections is -0.1874 eV per atom.

a b c (Å): 6.242 6.242 4.895
angles (deg): 90.00 90.00 90.00
Space group P4/mmm (No. 123)
Symmetry-distinct sites (fractional):
1 K 0.000 0.500 0.000
2 Al 0.000 0.000 0.500
3 Bi 0.500 0.500 0.500
4 Se 0.000 0.000 0.000

---

First-principles (PBE) data for a relaxed K4AlBi3Se8 crystal, as listed in Alexandria via LeMat-Bulk.

Calculated values
The formation energy without anion corrections is -0.8330 eV per atom.

a b c (Å): 8.4354 8.4354 23.1952
angles (deg): 90.00 90.00 120.00
Space group R-3m (No. 166, hexagonal axes)
Symmetry-distinct sites (fractional):
1 K 0.0000 0.0000 0.0000
2 K 0.0000 0.5000 0.0000
3 Al 0.0000 0.0000 0.5000
4 Bi 0.0000 0.5000 0.5000
5 Se 0.0000 0.0000 0.2390
6 Se 0.0321 0.5160 0.2326